## Tb2SnPd9 (PBE-GGA)

Data for a geometry-optimized Tb2SnPd9 structure.

Cell: 4.116 4.116 12.225 Å, 90.00 90.00 90.00°
Element x y z (fractional)
Pd1 0.500 0.000 0.500
Tb1 0.000 0.000 0.669
Sn1 0.000 0.000 0.000
Pd2 0.500 0.000 0.841
Tb2 0.000 0.000 0.331
Pd3 0.500 0.500 0.000
Pd4 0.000 0.500 0.159
Pd5 0.000 0.500 0.500
Pd6 0.500 0.500 0.671
Pd7 0.000 0.500 0.841
Pd8 0.500 0.000 0.159
Pd9 0.500 0.500 0.329

Values from the calculation:
As for the final energy: -5.75 eV/atom. The formation energy from the elements comes out at -746.4 meV per atom.